1.
PrNdDy5 | PBE | relaxed

Cell lengths 5.7761, 8.6981, 11.8414 Å; angles 90.00, 90.00, 90.00 degrees
Fractional coordinates of all 14 atoms:
Pr  0.0000  0.0000  0.0000
Pr  0.5000  0.5000  0.5000
Nd  0.0000  0.0000  0.5000
Nd  0.5000  0.5000  0.0000
Dy  0.0000  0.0000  0.2478
Dy  0.0000  0.0000  0.7522
Dy  0.0000  0.3215  0.0000
Dy  0.0000  0.5000  0.5000
Dy  0.0000  0.6785  0.0000
Dy  0.5000  0.0000  0.0000
Dy  0.5000  0.1785  0.5000
Dy  0.5000  0.5000  0.2522
Dy  0.5000  0.5000  0.7478
Dy  0.5000  0.8215  0.5000

Results
Formation energy, eV per atom: 1.08

---

2.
PrNd5Dy3 | PBE | relaxed

Cell lengths 9.5603, 9.5603, 12.4343 Å; angles 125.65, 125.65, 49.82 degrees
Fractional coordinates of all 18 atoms:
Pr  0.1253  0.1253  0.3346
Pr  0.8747  0.8747  0.6654
Nd  0.2187  0.6456  0.2116
Nd  0.2575  0.2575  0.8595
Nd  0.3284  0.6716  0.0000
Nd  0.3544  0.7813  0.7884
Nd  0.3785  0.3785  0.4387
Nd  0.6215  0.6215  0.5613
Nd  0.6456  0.2187  0.2116
Nd  0.6716  0.3284  0.0000
Nd  0.7425  0.7425  0.1405
Nd  0.7813  0.3544  0.7884
Dy  0.0000  0.0000  0.0000
Dy  0.0000  0.0000  0.5000
Dy  0.2084  0.2084  0.0833
Dy  0.3335  0.3335  0.6658
Dy  0.6665  0.6665  0.3342
Dy  0.7916  0.7916  0.9167

Results
Formation energy, eV per atom: 0.41

---

3.
Pr3Nd4Dy | PBE | relaxed

Cell lengths 10.3901, 7.3516, 7.3464 Å; angles 90.00, 90.00, 90.00 degrees
Fractional coordinates of all 16 atoms:
Pr  0.0000  0.0000  0.0000
Pr  0.2500  0.2523  0.2500
Pr  0.2500  0.7477  0.7500
Pr  0.5000  0.0000  0.5000
Pr  0.7500  0.2523  0.2500
Pr  0.7500  0.7477  0.7500
Nd  0.0000  0.0000  0.5000
Nd  0.0000  0.5000  0.0000
Nd  0.2500  0.2524  0.7500
Nd  0.2500  0.7476  0.2500
Nd  0.5000  0.0000  0.0000
Nd  0.5000  0.5000  0.5000
Nd  0.7500  0.2524  0.7500
Nd  0.7500  0.7476  0.2500
Dy  0.0000  0.5000  0.5000
Dy  0.5000  0.5000  0.0000

Results
Formation energy, eV per atom: 0.01

---

4.
Pr12Nd5Dy2 | PBE | relaxed

Cell lengths 10.1344, 10.1344, 10.6626 Å; angles 109.85, 109.85, 42.00 degrees
Fractional coordinates of all 19 atoms:
Pr  0.0015  0.0015  0.3219
Pr  0.0810  0.5846  0.4754
Pr  0.0927  0.5870  0.1312
Pr  0.4130  0.9073  0.8688
Pr  0.4154  0.9190  0.5246
Pr  0.4746  0.4746  0.7565
Pr  0.5254  0.5254  0.2435
Pr  0.5846  0.0810  0.4754
Pr  0.5870  0.0927  0.1312
Pr  0.9073  0.4130  0.8688
Pr  0.9190  0.4154  0.5246
Pr  0.9985  0.9985  0.6781
Nd  0.1725  0.1725  0.2083
Nd  0.3150  0.3150  0.8147
Nd  0.5000  0.5000  0.5000
Nd  0.6850  0.6850  0.1853
Nd  0.8275  0.8275  0.7917
Dy  0.2217  0.7783  0.0000
Dy  0.7783  0.2217  0.0000

Results
Formation energy, eV per atom: 0.16

---

Record-wise ΔE to the lowest computed polymorph values, in meV/atom: 887, 127, 0, 33
Record-wise magnetic moment values, in μB/cell: 0.00, 0.29, 0.00, 0.00